No. 1
{"formula": "Li3BeTl", "functional": "PBE", "state": "optimized geometry", "e_above_lowest_polymorph_ev_per_atom": 0.0000, "energy_ev_per_atom": -2.056, "lattice_angstrom": [[4.598, 0.000, 0.000], [0.000, 4.598, 0.000], [0.000, 0.000, 4.598]], "species": ["Li", "Li", "Li", "Be", "Tl"], "fractional_positions": [[0.000, 0.000, 0.500], [0.000, 0.500, 0.000], [0.500, 0.000, 0.000], [0.000, 0.000, 0.000], [0.500, 0.500, 0.500]]}



No. 2
{"formula": "LiBeTl2", "functional": "PBE", "state": "optimized geometry", "e_above_lowest_polymorph_ev_per_atom": 0.0726, "energy_ev_per_atom": -2.272, "lattice_angstrom": [[-4.255, 4.255, 2.642], [4.255, -4.255, 2.642], [4.255, 4.255, -2.642]], "species": ["Li", "Li", "Be", "Be", "Tl", "Tl", "Tl", "Tl"], "fractional_positions": [[0.000, 0.000, 0.000], [0.750, 0.250, 0.500], [0.250, 0.750, 0.500], [0.500, 0.500, 0.000], [0.246, 0.125, 0.621], [0.375, 0.754, 0.879], [0.504, 0.625, 0.379], [0.875, 0.496, 0.121]]}



No. 3
{"formula": "LiBeTl2", "functional": "PBE", "state": "optimized geometry", "e_above_lowest_polymorph_ev_per_atom": 0.0607, "energy_ev_per_atom": -2.284, "lattice_angstrom": [[3.579, 0.000, 0.000], [0.000, 4.092, 0.000], [0.000, 0.000, 5.543]], "species": ["Li", "Be", "Tl", "Tl"], "fractional_positions": [[0.000, 0.000, 0.000], [0.500, 0.500, 0.710], [0.000, 0.000, 0.531], [0.500, 0.500, 0.196]]}



No. 4
{"formula": "LiBe4Tl", "functional": "PBE", "state": "optimized geometry", "energy_ev_per_atom": -2.944, "lattice_angstrom": [[0.000, 3.260, 3.260], [3.260, 0.000, 3.260], [3.260, 3.260, 0.000]], "species": ["Li", "Be", "Be", "Be", "Be", "Tl"], "fractional_positions": [[0.000, 0.000, 0.000], [0.372, 0.372, 0.372], [0.372, 0.372, 0.883], [0.372, 0.883, 0.372], [0.883, 0.372, 0.372], [0.750, 0.750, 0.750]]}



No. 5
{"formula": "Li2BeTl", "functional": "PBE", "state": "optimized geometry", "e_above_lowest_polymorph_ev_per_atom": 0.1351, "energy_ev_per_atom": -2.340, "lattice_angstrom": [[3.063, 0.000, 0.000], [0.000, 4.419, 0.000], [-0.020, 0.000, 4.944]], "species": ["Li", "Li", "Be", "Tl"], "fractional_positions": [[0.000, 0.000, 0.000], [0.006, 0.500, 0.676], [0.503, 0.000, 0.488], [0.503, 0.500, 0.201]]}



No. 6
{"formula": "LiBe2Tl", "functional": "PBE", "state": "optimized geometry", "e_above_lowest_polymorph_ev_per_atom": 0.0000, "energy_ev_per_atom": -2.617, "lattice_angstrom": [[3.487, -2.023, 0.000], [3.487, 2.023, 0.000], [-2.377, 0.000, 4.155]], "species": ["Li", "Be", "Be", "Tl"], "fractional_positions": [[0.000, 0.000, 0.000], [0.429, 0.429, 0.285], [0.775, 0.775, 0.324], [0.215, 0.215, 0.640]]}



No. 7
{"formula": "LiBeTl2", "functional": "PBE", "state": "optimized geometry", "e_above_lowest_polymorph_ev_per_atom": 0.0000, "energy_ev_per_atom": -2.344, "lattice_angstrom": [[2.210, -2.582, 0.000], [2.210, 2.582, 0.000], [0.000, 0.000, 7.119]], "species": ["Li", "Be", "Tl", "Tl"], "fractional_positions": [[0.000, 0.000, 0.000], [0.000, 0.000, 0.500], [0.500, 0.500, 0.270], [0.500, 0.500, 0.730]]}



No. 8
{"formula": "Li2BeTl", "functional": "PBE", "state": "optimized geometry", "e_above_lowest_polymorph_ev_per_atom": 0.1757, "energy_ev_per_atom": -2.299, "lattice_angstrom": [[3.310, 0.000, 0.000], [0.000, 3.310, 0.000], [0.000, 0.000, 6.161]], "species": ["Li", "Li", "Be", "Tl"], "fractional_positions": [[0.000, 0.000, 0.000], [0.500, 0.500, 0.260], [0.500, 0.500, 0.794], [0.000, 0.000, 0.539]]}



No. 9
{"formula": "LiBe2Tl", "functional": "PBE", "state": "optimized geometry", "e_above_lowest_polymorph_ev_per_atom": 0.2747, "energy_ev_per_atom": -2.342, "lattice_angstrom": [[1.511, 0.873, 8.342], [-1.511, 0.873, 8.342], [0.000, -1.745, 8.342]], "species": ["Li", "Be", "Be", "Tl"], "fractional_positions": [[0.000, 0.000, 0.000], [0.475, 0.475, 0.475], [0.749, 0.749, 0.749], [0.233, 0.233, 0.233]]}



No. 10
{"formula": "LiBeTl", "functional": "PBE", "state": "optimized geometry", "e_above_lowest_polymorph_ev_per_atom": 0.0494, "energy_ev_per_atom": -2.397, "lattice_angstrom": [[0.000, 2.606, 4.137], [2.303, 0.000, 4.137], [2.303, 2.606, 0.000]], "species": ["Li", "Be", "Tl"], "fractional_positions": [[0.000, 0.000, 0.000], [0.654, 0.654, 0.346], [0.325, 0.325, 0.675]]}



No. 11
{"formula": "Li2BeTl", "functional": "PBE", "state": "optimized geometry", "e_above_lowest_polymorph_ev_per_atom": 0.3409, "energy_ev_per_atom": -2.134, "lattice_angstrom": [[1.570, 0.906, 9.152], [-1.570, 0.906, 9.152], [0.000, -1.813, 9.152]], "species": ["Li", "Li", "Be", "Tl"], "fractional_positions": [[0.000, 0.000, 0.000], [0.239, 0.239, 0.239], [0.500, 0.500, 0.500], [0.755, 0.755, 0.755]]}



No. 12
{"formula": "LiBe2Tl", "functional": "PBE", "state": "optimized geometry", "e_above_lowest_polymorph_ev_per_atom": 0.1274, "energy_ev_per_atom": -2.490, "lattice_angstrom": [[2.948, 0.000, 0.000], [0.000, 4.237, 0.000], [-0.431, 0.000, 4.853]], "species": ["Li", "Be", "Be", "Tl"], "fractional_positions": [[0.000, 0.000, 0.000], [0.376, 0.500, 0.207], [0.624, 0.500, 0.793], [0.500, 0.000, 0.500]]}



No. 13
{"formula": "LiBe2Tl", "functional": "PBE", "state": "optimized geometry", "e_above_lowest_polymorph_ev_per_atom": 0.0915, "energy_ev_per_atom": -2.526, "lattice_angstrom": [[3.797, 0.000, 0.000], [0.000, 3.797, 0.000], [0.000, 0.000, 3.854]], "species": ["Li", "Be", "Be", "Tl"], "fractional_positions": [[0.000, 0.000, 0.000], [0.000, 0.500, 0.500], [0.500, 0.000, 0.500], [0.500, 0.500, 0.000]]}



No. 14
{"formula": "LiBe2Tl", "functional": "PBE", "state": "optimized geometry", "e_above_lowest_polymorph_ev_per_atom": 0.2225, "energy_ev_per_atom": -2.395, "lattice_angstrom": [[2.693, -4.479, 0.000], [2.693, 4.479, 0.000], [-1.511, 0.000, 2.504]], "species": ["Li", "Be", "Be", "Tl"], "fractional_positions": [[0.000, 0.000, 0.000], [0.000, 0.500, 0.000], [0.500, 0.000, 0.000], [0.500, 0.500, 0.000]]}



No. 15
{"formula": "LiBeTl2", "functional": "PBE", "state": "optimized geometry", "e_above_lowest_polymorph_ev_per_atom": 0.1803, "energy_ev_per_atom": -2.164, "lattice_angstrom": [[0.000, 3.538, 3.538], [3.538, 0.000, 3.538], [3.538, 3.538, 0.000]], "species": ["Li", "Be", "Tl", "Tl"], "fractional_positions": [[0.000, 0.000, 0.000], [0.250, 0.250, 0.250], [0.500, 0.500, 0.500], [0.750, 0.750, 0.750]]}



No. 16
{"formula": "LiBeTl", "functional": "PBE", "state": "optimized geometry", "e_above_lowest_polymorph_ev_per_atom": 0.0000, "energy_ev_per_atom": -2.446, "lattice_angstrom": [[4.367, 0.000, 0.000], [-2.184, 3.782, 0.000], [0.000, 0.000, 3.183]], "species": ["Li", "Be", "Tl"], "fractional_positions": [[0.000, 0.000, 0.000], [0.333, 0.667, 0.497], [0.667, 0.333, 0.499]]}



No. 17
{"formula": "Li2BeTl", "functional": "PBE", "state": "optimized geometry", "e_above_lowest_polymorph_ev_per_atom": 0.1172, "energy_ev_per_atom": -2.358, "lattice_angstrom": [[3.853, 0.000, 0.000], [0.000, 3.911, 0.000], [0.000, 0.000, 4.279]], "species": ["Li", "Li", "Be", "Tl"], "fractional_positions": [[0.000, 0.000, 0.000], [0.500, 0.500, 0.000], [0.000, 0.500, 0.500], [0.500, 0.000, 0.500]]}



No. 18
{"formula": "LiBeTl2", "functional": "PBE", "state": "optimized geometry", "e_above_lowest_polymorph_ev_per_atom": 0.0717, "energy_ev_per_atom": -2.273, "lattice_angstrom": [[-2.025, 2.025, 5.004], [2.025, -2.025, 5.004], [2.025, 2.025, -5.004]], "species": ["Li", "Be", "Tl", "Tl"], "fractional_positions": [[0.000, 0.000, 0.000], [0.750, 0.250, 0.500], [0.250, 0.750, 0.500], [0.500, 0.500, 0.000]]}



No. 19
{"formula": "LiBeTl2", "functional": "PBE", "state": "optimized geometry", "e_above_lowest_polymorph_ev_per_atom": 0.0202, "energy_ev_per_atom": -2.324, "lattice_angstrom": [[3.292, 0.000, 0.000], [0.000, 4.168, 0.000], [-1.312, 0.000, 6.134]], "species": ["Li", "Be", "Tl", "Tl"], "fractional_positions": [[0.000, 0.000, 0.000], [0.500, 0.000, 0.500], [0.353, 0.500, 0.736], [0.647, 0.500, 0.264]]}



No. 20
{"formula": "Li3BeTl", "functional": "PBE", "state": "optimized geometry", "e_above_lowest_polymorph_ev_per_atom": 0.4101, "energy_ev_per_atom": -1.646, "lattice_angstrom": [[5.033, 0.000, 0.000], [0.000, 5.033, 0.000], [0.000, 0.000, 5.033]], "species": ["Li", "Li", "Li", "Be", "Tl"], "fractional_positions": [[0.000, 0.000, 0.500], [0.000, 0.500, 0.000], [0.500, 0.000, 0.000], [0.500, 0.500, 0.500], [0.000, 0.000, 0.000]]}



No. 21
{"formula": "LiBe2Tl", "functional": "PBE", "state": "optimized geometry", "e_above_lowest_polymorph_ev_per_atom": 0.0722, "energy_ev_per_atom": -2.545, "lattice_angstrom": [[3.345, 0.000, 0.000], [0.000, 3.921, 0.000], [-1.660, 0.000, 4.638]], "species": ["Li", "Be", "Be", "Tl"], "fractional_positions": [[0.000, 0.000, 0.000], [0.299, 0.000, 0.592], [0.402, 0.500, 0.804], [0.679, 0.500, 0.362]]}



No. 22
{"formula": "LiBe2Tl", "functional": "PBE", "state": "optimized geometry", "e_above_lowest_polymorph_ev_per_atom": 0.2595, "energy_ev_per_atom": -2.358, "lattice_angstrom": [[-2.104, 2.104, 8.667], [2.104, -2.104, 8.667], [2.104, 2.104, -8.667]], "species": ["Li", "Li", "Be", "Be", "Be", "Be", "Tl", "Tl"], "fractional_positions": [[0.375, 0.625, 0.750], [0.625, 0.375, 0.250], [0.000, 0.000, 0.000], [0.000, 0.000, 0.500], [0.000, 0.500, 0.000], [0.500, 0.000, 0.500], [0.125, 0.875, 0.250], [0.875, 0.125, 0.750]]}



No. 23
{"formula": "LiBeTl2", "functional": "PBE", "state": "optimized geometry", "e_above_lowest_polymorph_ev_per_atom": 0.0146, "energy_ev_per_atom": -2.330, "lattice_angstrom": [[1.681, 0.971, 8.588], [-1.681, 0.971, 8.588], [0.000, -1.941, 8.588]], "species": ["Li", "Be", "Tl", "Tl"], "fractional_positions": [[0.000, 0.000, 0.000], [0.500, 0.500, 0.500], [0.243, 0.243, 0.243], [0.757, 0.757, 0.757]]}



No. 24
{"formula": "LiBe3Tl", "functional": "PBE", "state": "optimized geometry", "energy_ev_per_atom": -2.010, "lattice_angstrom": [[4.586, 0.000, 0.000], [0.000, 4.586, 0.000], [0.000, 0.000, 4.586]], "species": ["Li", "Be", "Be", "Be", "Tl"], "fractional_positions": [[0.000, 0.000, 0.000], [0.000, 0.500, 0.500], [0.500, 0.000, 0.500], [0.500, 0.500, 0.000], [0.500, 0.500, 0.500]]}



No. 25
{"formula": "LiBeTl2", "functional": "PBE", "state": "optimized geometry", "e_above_lowest_polymorph_ev_per_atom": 0.0109, "energy_ev_per_atom": -2.333, "lattice_angstrom": [[0.000, 3.415, 3.415], [3.415, 0.000, 3.415], [3.415, 3.415, 0.000]], "species": ["Li", "Be", "Tl", "Tl"], "fractional_positions": [[0.000, 0.000, 0.000], [0.500, 0.500, 0.500], [0.250, 0.250, 0.250], [0.750, 0.750, 0.750]]}



No. 26
{"formula": "Li2BeTl", "functional": "PBE", "state": "optimized geometry", "e_above_lowest_polymorph_ev_per_atom": 0.2938, "energy_ev_per_atom": -2.181, "lattice_angstrom": [[-3.817, 3.817, 2.439], [3.817, -3.817, 2.439], [3.817, 3.817, -2.439]], "species": ["Li", "Li", "Li", "Li", "Be", "Be", "Tl", "Tl"], "fractional_positions": [[0.077, 0.125, 0.452], [0.375, 0.923, 0.048], [0.673, 0.625, 0.548], [0.875, 0.327, 0.952], [0.000, 0.000, 0.000], [0.750, 0.250, 0.500], [0.250, 0.750, 0.500], [0.500, 0.500, 0.000]]}



No. 27
{"formula": "LiBeTl", "functional": "PBE", "state": "optimized geometry", "e_above_lowest_polymorph_ev_per_atom": 0.0597, "energy_ev_per_atom": -2.387, "lattice_angstrom": [[0.000, 3.005, 3.005], [3.005, 0.000, 3.005], [3.005, 3.005, 0.000]], "species": ["Li", "Be", "Tl"], "fractional_positions": [[0.000, 0.000, 0.000], [0.750, 0.750, 0.750], [0.500, 0.500, 0.500]]}



No. 28
{"formula": "Li2BeTl", "functional": "PBE", "state": "optimized geometry", "e_above_lowest_polymorph_ev_per_atom": 0.1313, "energy_ev_per_atom": -2.344, "lattice_angstrom": [[3.175, 0.000, 0.000], [0.000, 3.175, 0.000], [0.000, 0.000, 6.393]], "species": ["Li", "Li", "Be", "Tl"], "fractional_positions": [[0.000, 0.000, 0.207], [0.000, 0.000, 0.793], [0.500, 0.500, 0.000], [0.500, 0.500, 0.500]]}



No. 29
{"formula": "LiBeTl3", "functional": "PBE", "state": "optimized geometry", "e_above_lowest_polymorph_ev_per_atom": 0.3745, "energy_ev_per_atom": -1.931, "lattice_angstrom": [[5.126, 0.000, 0.000], [0.000, 5.126, 0.000], [0.000, 0.000, 5.126]], "species": ["Li", "Be", "Tl", "Tl", "Tl"], "fractional_positions": [[0.000, 0.000, 0.000], [0.500, 0.500, 0.500], [0.000, 0.000, 0.500], [0.000, 0.500, 0.000], [0.500, 0.000, 0.000]]}



No. 30
{"formula": "LiBeTl2", "functional": "PBE", "state": "optimized geometry", "e_above_lowest_polymorph_ev_per_atom": 0.0231, "energy_ev_per_atom": -2.321, "lattice_angstrom": [[4.156, -1.705, 0.000], [4.156, 1.705, 0.000], [-1.370, 0.000, 5.928]], "species": ["Li", "Be", "Tl", "Tl"], "fractional_positions": [[0.000, 0.000, 0.000], [0.500, 0.500, 0.500], [0.239, 0.239, 0.727], [0.761, 0.761, 0.273]]}